# La2IrCl (SCAN, single point on PBEsol structure)
# * VASP energy: -42.8898 eV per atom
# * formation energy (no corrections): -1.57 eV/atom
# * energy above the most stable polymorph in this dataset: 0.0000 eV/atom
data_La2IrCl
_chemical_formula_sum 'La6 Ir3 Cl3'
_cell_length_a 4.1096
_cell_length_b 4.1096
_cell_length_c 22.3625
_cell_angle_alpha 90.00
_cell_angle_beta 90.00
_cell_angle_gamma 120.00
_symmetry_space_group_name_H-M 'R -3 m'
_symmetry_Int_Tables_number 166
_symmetry_space_group_name_Hall '-R 3 2"'
loop_
_atom_site_label
_atom_site_type_symbol
_atom_site_fract_x
_atom_site_fract_y
_atom_site_fract_z
La1 La 0.0000 0.0000 0.2360
Ir1 Ir 0.0000 0.0000 0.5000
Cl1 Cl 0.0000 0.0000 0.0000